# 1
Compound: BeSi
Source: the Alexandria database
Functional: PBE-GGA
Structure: optimized geometry

Summary:
Formation energy without anion corrections in eV/atom: 0.843
Total magnetic moment in μB/f.u.: 0.00
N(E_F) in states/eV per cell: 10.2
ΔE to the lowest computed polymorph in eV per atom: 0.6131

CIF file:
```
data_BeSi
_cell_length_a 6.906
_cell_length_b 6.906
_cell_length_c 6.906
_cell_angle_alpha 90.00
_cell_angle_beta 90.00
_cell_angle_gamma 90.00
_symmetry_space_group_name_H-M 'I -4 3 m'
_symmetry_Int_Tables_number 217
_symmetry_space_group_name_Hall 'I -4 2 3'
loop_
_atom_site_label
_atom_site_type_symbol
_atom_site_fract_x
_atom_site_fract_y
_atom_site_fract_z
Be1 Be 0.182 0.182 0.182
Si1 Si 0.138 0.138 0.862
```



# 2
Compound: Be3Si
Source: the Alexandria database
Functional: PBE-GGA
Structure: optimized geometry

Summary:
Formation energy without anion corrections in eV/atom: 0.175
Total magnetic moment in μB/f.u.: 0.00
N(E_F) in states/eV per cell: 0.9
ΔE to the lowest computed polymorph in eV per atom: 0.0252

CIF file:
```
data_Be3Si
_cell_length_a 6.656
_cell_length_b 3.630
_cell_length_c 7.887
_cell_angle_alpha 90.00
_cell_angle_beta 112.67
_cell_angle_gamma 90.00
_symmetry_space_group_name_H-M 'C 1 m 1'
_symmetry_Int_Tables_number 8
_symmetry_space_group_name_Hall 'C -2y'
loop_
_atom_site_label
_atom_site_type_symbol
_atom_site_fract_x
_atom_site_fract_y
_atom_site_fract_z
Be1 Be 0.000 0.000 0.000
Be2 Be 0.009 0.000 0.713
Be3 Be 0.209 0.500 0.769
Be4 Be 0.285 0.000 0.271
Be5 Be 0.404 0.000 0.825
Be6 Be 0.413 0.000 0.545
Si1 Si 0.188 0.500 0.424
Si2 Si 0.219 0.500 0.086
```